Record 1
DFT (GGA-PBE) results for an optimized crystal structure of Ce2AlSi3Pt4.

Output
E = -6.716 eV per atom
space-group type = No. 115
formation energy from raw total energies = -1.11 eV/atom

a = 4.2263 Å, b = 4.2263 Å, c = 10.0903 Å
α = 90.00°, β = 90.00°, γ = 90.00°
With the nearest neighbours (Å) after each atom.
Atoms (fractional coordinates):
Ce (0.5000, 0.0000, 0.2489)  6 Si 3.22-3.30, 8 Pt 3.22-3.28, 2 Al 3.30
Ce (0.0000, 0.5000, 0.7511)  6 Si 3.22-3.30, 8 Pt 3.22-3.28, 2 Al 3.30
Al (0.5000, 0.5000, 0.5000)  4 Pt 2.49
Si (0.0000, 0.0000, 0.5000)  4 Pt 2.49
Si (0.5000, 0.0000, 0.8692)  5 Pt 2.40-2.49
Si (0.0000, 0.5000, 0.1308)  5 Pt 2.40-2.49
Pt (0.5000, 0.5000, 0.0000)  4 Si 2.49
Pt (0.0000, 0.0000, 0.0000)  4 Si 2.49
Pt (0.5000, 0.0000, 0.6314)  3 Si 2.40-2.49, 2 Al 2.49
Pt (0.0000, 0.5000, 0.3686)  3 Si 2.40-2.49, 2 Al 2.49

***

Record 2
DFT (GGA-PBE) results for an optimized crystal structure of YPF.

Output
E = -6.920 eV per atom
space-group type = No. 12
formation energy from raw total energies = -2.34 eV/atom

a = 4.1089 Å, b = 4.8801 Å, c = 6.7295 Å
α = 88.23°, β = 90.00°, γ = 114.90°
With the nearest neighbours (Å) after each atom.
Atoms (fractional coordinates):
Y (0.2298, 0.4596, 0.7458)  3 F 2.35-2.36
Y (0.7702, 0.5404, 0.2542)  3 F 2.35-2.36
P (0.0764, 0.1527, 0.1251)  1 P 2.20
P (0.9236, 0.8473, 0.8749)  1 P 2.20
F (0.3181, 0.6363, 0.4127)  3 Y 2.35-2.36
F (0.6819, 0.3637, 0.5873)  3 Y 2.35-2.36

***

Record 3
DFT (GGA-PBE) results for an optimized crystal structure of ScCuRe2Cl.

Output
E = -5.891 eV per atom
space-group type = No. 123
formation energy from raw total energies = 1.54 eV/atom

a = 4.5890 Å, b = 5.0737 Å, c = 4.5890 Å
α = 90.00°, β = 90.00°, γ = 90.00°
With the nearest neighbours (Å) after each atom.
Atoms (fractional coordinates):
Sc (0.0000, 0.5000, 0.0000)  2 Cu 2.54
Re (0.0000, 0.0000, 0.5000)  2 Cu 2.29
Re (0.5000, 0.0000, 0.0000)  2 Cu 2.29
Cu (0.0000, 0.0000, 0.0000)  4 Re 2.29, 2 Sc 2.54
Cl (0.5000, 0.5000, 0.5000)  4 Sc 3.24, 8 Re 3.42

***

Record 4
DFT (GGA-PBE) results for an optimized crystal structure of BaICl.

Output
E = -3.756 eV per atom
space-group type = No. 107
formation energy from raw total energies = -1.98 eV/atom

a = 4.2533 Å, b = 4.2533 Å, c = 6.7352 Å
α = 108.41°, β = 108.41°, γ = 90.00°
With the nearest neighbours (Å) after each atom.
Atoms (fractional coordinates):
I (0.0099, 0.0099, 0.0199)  1 Cl 3.46, 5 Ba 3.73-3.82
Ba (0.6931, 0.6931, 0.3863)  4 Cl 3.26
Cl (0.2969, 0.2969, 0.5939)  4 Ba 3.26, 1 I 3.46

***

Record 5
DFT (GGA-PBE) results for an optimized crystal structure of La2ZnCdAg6.

Output
E = -2.817 eV per atom
DFT formation energy = 98 meV per atom
space-group type = No. 69

a = 7.1098 Å, b = 7.1131 Å, c = 7.1198 Å
α = 59.99°, β = 60.00°, γ = 89.96°
With the nearest neighbours (Å) after each atom.
Atoms (fractional coordinates):
La (0.7502, 0.2501, 0.4997)  12 Ag 3.56
La (0.2498, 0.7499, 0.5003)  12 Ag 3.56
Zn (0.0000, 0.0000, 0.0000)  6 Ag 2.42-2.43
Cd (0.5000, 0.5000, 0.0000)  6 Ag 2.60-2.61
Ag (0.2412, 0.2411, 0.5178)  1 Zn 2.43, 1 Cd 2.61
Ag (0.7589, 0.7586, 0.0002)  1 Zn 2.43, 1 Cd 2.60
Ag (0.2412, 0.7589, 0.0000)  1 Zn 2.42, 1 Cd 2.60
Ag (0.7588, 0.2411, 0.0000)  1 Zn 2.42, 1 Cd 2.60
Ag (0.2410, 0.2414, 0.9998)  1 Zn 2.43, 1 Cd 2.60
Ag (0.7588, 0.7589, 0.4822)  1 Zn 2.43, 1 Cd 2.61

***

Record 6
DFT (GGA-PBE) results for an optimized crystal structure of LaGa4IrRu2.

Output
E = -5.982 eV per atom
DFT formation energy = -426 meV per atom
space-group type = No. 166

a = 4.2836 Å, b = 4.2836 Å, c = 9.2500 Å
α = 76.61°, β = 76.61°, γ = 60.00°
With the nearest neighbours (Å) after each atom.
Atoms (fractional coordinates):
La (0.0000, 0.0000, 0.0000)  6 Ga 3.12
Ga (0.4045, 0.4045, 0.7865)  1 Ir 2.55, 3 Ru 2.60
Ga (0.8687, 0.8687, 0.3938)  4 Ru 2.61-2.71, 3 Ir 2.65
Ga (0.1313, 0.1313, 0.6062)  4 Ru 2.61-2.71, 3 Ir 2.65
Ga (0.5955, 0.5955, 0.2135)  1 Ir 2.55, 3 Ru 2.60
Ir (0.5000, 0.5000, 0.5000)  8 Ga 2.55-2.65
Ru (0.7673, 0.7673, 0.6982)  7 Ga 2.60-2.71
Ru (0.2327, 0.2327, 0.3018)  7 Ga 2.60-2.71

***

Record 7
DFT (GGA-PBE) results for an optimized crystal structure of MoPt2Au.

Output
E = -6.610 eV per atom
DFT formation energy = -63 meV per atom
space-group type = No. 12

a = 4.8606 Å, b = 4.8606 Å, c = 4.9857 Å
α = 80.96°, β = 80.96°, γ = 33.60°
With the nearest neighbours (Å) after each atom.
Atoms (fractional coordinates):
Au (0.7500, 0.7500, 0.7500)  2 Au 2.81, 6 Pt 2.81-2.88, 4 Mo 2.86
Mo (0.2500, 0.2500, 0.2500)  6 Pt 2.78-2.82, 2 Mo 2.81, 4 Au 2.86
Pt (0.9955, 0.9955, 0.0119)  6 Pt 2.77-2.95, 3 Mo 2.78-2.82, 3 Au 2.81-2.88
Pt (0.5045, 0.5045, 0.4881)  6 Pt 2.77-2.95, 3 Mo 2.78-2.82, 3 Au 2.81-2.88

***

Record 8
DFT (GGA-PBE) results for an optimized crystal structure of PmNp3Tl4O12.

Output
E = -7.941 eV per atom
space-group type = No. 229
formation energy from raw total energies = -2.31 eV/atom

a = 7.5530 Å, b = 7.5530 Å, c = 7.5530 Å
α = 109.47°, β = 109.47°, γ = 109.47°
With the nearest neighbours (Å) after each atom.
Atoms (fractional coordinates):
Pm (0.0000, 0.0000, 0.0000)  6 O 2.36
Np (0.5000, 0.0000, 0.5000)  6 O 2.00-2.18
Np (0.5000, 0.5000, 0.0000)  6 O 2.00-2.18
Np (0.0000, 0.5000, 0.5000)  6 O 2.00-2.18
Tl (0.5000, 0.5000, 0.5000)  12 O 3.08-3.09
Tl (0.0000, 0.0000, 0.5000)  12 O 3.08-3.09
Tl (0.5000, 0.0000, 0.0000)  12 O 3.08-3.09
Tl (0.0000, 0.5000, 0.0000)  12 O 3.08-3.09
O (0.2500, 0.5000, 0.7500)  2 Np 2.18
O (0.7295, 0.0000, 0.7295)  1 Np 2.00
O (0.2705, 0.0000, 0.2705)  1 Np 2.00
O (0.7500, 0.5000, 0.2500)  2 Np 2.18
O (0.7295, 0.7295, 0.0000)  1 Np 2.00
O (0.2705, 0.2705, 0.0000)  1 Np 2.00
O (0.7500, 0.2500, 0.5000)  2 Np 2.18
O (0.2500, 0.7500, 0.5000)  2 Np 2.18
O (0.5000, 0.2500, 0.7500)  2 Np 2.18
O (0.0000, 0.7295, 0.7295)  1 Np 2.00
O (0.5000, 0.7500, 0.2500)  2 Np 2.18
O (0.0000, 0.2705, 0.2705)  1 Np 2.00

***

Record 9
DFT (GGA-PBE) results for an optimized crystal structure of TbDy2Te3.

Output
E = -5.165 eV per atom
space-group type = No. 71
formation energy from raw total energies = -1.29 eV/atom

a = 4.3919 Å, b = 6.1441 Å, c = 7.5225 Å
α = 114.10°, β = 106.97°, γ = 90.00°
With the nearest neighbours (Å) after each atom.
Atoms (fractional coordinates):
Tb (0.5000, 0.5000, 0.5000)  6 Te 3.07-3.10
Dy (0.8352, 0.8352, 0.1704)  6 Te 3.07-3.09
Dy (0.1648, 0.1648, 0.8296)  6 Te 3.07-3.09
Te (0.8319, 0.3319, 0.1637)  4 Dy 3.07-3.09, 2 Tb 3.10
Te (0.1681, 0.6681, 0.8363)  4 Dy 3.07-3.09, 2 Tb 3.10
Te (0.5000, 0.0000, 0.5000)  4 Dy 3.07, 2 Tb 3.07

***

Record 10
DFT (GGA-PBE) results for an optimized crystal structure of Pm3Pd3Au.

Output
E = -5.419 eV per atom
DFT formation energy = -689 meV per atom
space-group type = No. 176

a = 4.9983 Å, b = 8.5740 Å, c = 8.5740 Å
α = 120.00°, β = 90.00°, γ = 90.00°
With the nearest neighbours (Å) after each atom.
Atoms (fractional coordinates):
Pm (0.7500, 0.6605, 0.5858)  4 Pd 2.82-2.98
Pm (0.7500, 0.4142, 0.0746)  4 Pd 2.82-2.98
Pm (0.7500, 0.9254, 0.3395)  4 Pd 2.82-2.98
Pm (0.2500, 0.3395, 0.4142)  4 Pd 2.82-2.98
Pm (0.2500, 0.5858, 0.9254)  4 Pd 2.82-2.98
Pm (0.2500, 0.0746, 0.6605)  4 Pd 2.82-2.98
Pd (0.2500, 0.8273, 0.7919)  4 Pm 2.82-2.98, 6 Pd 2.86-3.00
Pd (0.2500, 0.2081, 0.0354)  4 Pm 2.82-2.98, 6 Pd 2.86-3.00
Pd (0.2500, 0.9646, 0.1727)  4 Pm 2.82-2.98, 6 Pd 2.86-3.00
Pd (0.7500, 0.1727, 0.2081)  4 Pm 2.82-2.98, 6 Pd 2.86-3.00
Pd (0.7500, 0.7919, 0.9646)  4 Pm 2.82-2.98, 6 Pd 2.86-3.00
Pd (0.7500, 0.0354, 0.8273)  4 Pm 2.82-2.98, 6 Pd 2.86-3.00
Au (0.2500, 0.6667, 0.3333)  9 Pm 3.21-3.32, 3 Pd 3.46
Au (0.7500, 0.3333, 0.6667)  9 Pm 3.21-3.32, 3 Pd 3.46

***

Record 11
DFT (GGA-PBE) results for an optimized crystal structure of HfCoNiP.

Output
E = -7.583 eV per atom
DFT formation energy = -520 meV per atom
space-group type = No. 38

a = 3.2803 Å, b = 3.6471 Å, c = 9.3853 Å
α = 90.00°, β = 90.00°, γ = 90.00°
With the nearest neighbours (Å) after each atom.
Atoms (fractional coordinates):
Hf (0.0000, 0.0000, 0.3635)  1 P 2.51, 4 Co 2.56
Hf (0.0000, 0.5000, 0.8635)  1 P 2.51, 4 Co 2.56
Co (0.5000, 0.0000, 0.9418)  2 P 2.19
Co (0.5000, 0.5000, 0.4418)  2 P 2.19
Ni (0.5000, 0.0000, 0.6531)  4 P 2.51, 3 Co 2.69-2.71
Ni (0.5000, 0.5000, 0.1531)  4 P 2.51, 3 Co 2.69-2.71
P (0.0000, 0.0000, 0.0959)  2 Co 2.19
P (0.0000, 0.5000, 0.5959)  2 Co 2.19

***

Record 12
DFT (GGA-PBE) results for an optimized crystal structure of Mg3Au.

Output
E = -2.420 eV per atom
DFT formation energy = -405 meV per atom
space-group type = No. 194

a = 4.6972 Å, b = 4.6972 Å, c = 8.5777 Å
α = 90.00°, β = 90.00°, γ = 120.00°
With the nearest neighbours (Å) after each atom.
Atoms (fractional coordinates):
Au (0.6667, 0.3333, 0.2500)  5 Mg 2.71-2.80
Au (0.3333, 0.6667, 0.7500)  5 Mg 2.71-2.80
Mg (0.6667, 0.3333, 0.5768)  4 Au 2.80-3.09, 7 Mg 2.97-3.09
Mg (0.3333, 0.6667, 0.0768)  4 Au 2.80-3.09, 7 Mg 2.97-3.09
Mg (0.3333, 0.6667, 0.4232)  4 Au 2.80-3.09, 7 Mg 2.97-3.09
Mg (0.6667, 0.3333, 0.9232)  4 Au 2.80-3.09, 7 Mg 2.97-3.09
Mg (0.0000, 0.0000, 0.2500)  3 Au 2.71
Mg (0.0000, 0.0000, 0.7500)  3 Au 2.71